The following is a PBE+U calculation of a relaxed structure of Cs2YWO6, from Alexandria.

Geometry as CIF:
```
data_Cs2YWO6
_chemical_formula_sum 'Cs2 Y1 W1 O6'
_cell_length_a 5.9062
_cell_length_b 6.8460
_cell_length_c 6.8460
_cell_angle_alpha 120.00
_cell_angle_beta 90.00
_cell_angle_gamma 90.00
_space_group_name_H-M_alt 'P 1'
_space_group_IT_number 1
_space_group_name_Hall 'P 1'
loop_
_atom_site_label
_atom_site_fract_x
_atom_site_fract_y
_atom_site_fract_z
Y1 0.5000 0.0000 0.0000
O1 0.2074 0.2581 0.1290
W1 0.0000 0.0000 0.0000
O2 0.7926 0.7419 0.8710
O3 0.7926 0.1290 0.8710
O4 0.7926 0.1290 0.2581
Cs1 0.1263 0.3333 0.6667
O5 0.2074 0.8710 0.1290
Cs2 0.8737 0.6667 0.3333
O6 0.2074 0.8710 0.7419
```

Electronic total energy: -65.931 eV per cell
Density of states at the Fermi level: 1.7 states/eV per cell
Space group: P-3m1